The following is a DFT calculation (PBE-GGA) of a relaxed structure of Pm8PrGe4.

abc: 8.517 8.517 8.517
angles: 60.00 60.00 60.00
Atoms (fractional coordinates):
Pm  0.619  0.127  0.127
Pm  0.612  0.612  0.612
Pm  0.127  0.619  0.127
Pm  0.127  0.127  0.127
Pm  0.127  0.127  0.619
Pm  0.163  0.612  0.612
Pm  0.612  0.612  0.163
Pm  0.612  0.163  0.612
Ge  0.370  0.370  0.890
Ge  0.370  0.890  0.370
Ge  0.370  0.370  0.370
Ge  0.890  0.370  0.370
Pr  0.750  0.750  0.750

Computed properties:
energy relative to the elements: -182.7 meV/atom
theoretical density: 6.05 g/cm³
DOS(E_F): 15.14 states/eV/cell
magnetic moment: 0.51 μB/f.u.



The following is a DFT calculation (PBE-GGA) of a relaxed structure of Th2Cu2Ni15.

abc: 6.317 6.317 6.317
angles: 82.86 82.86 82.86
Atoms (fractional coordinates):
Ni  0.345  0.845  0.345
Ni  0.500  0.000  0.000
Ni  0.000  0.704  0.296
Ni  0.000  0.000  0.500
Ni  0.000  0.500  0.000
Ni  0.704  0.000  0.296
Ni  0.296  0.000  0.704
Ni  0.704  0.296  0.000
Ni  0.655  0.655  0.155
Ni  0.296  0.704  0.000
Ni  0.345  0.345  0.845
Ni  0.655  0.155  0.655
Ni  0.155  0.655  0.655
Ni  0.000  0.296  0.704
Ni  0.845  0.345  0.345
Cu  0.097  0.097  0.097
Cu  0.903  0.903  0.903
Th  0.341  0.341  0.341
Th  0.659  0.659  0.659

Computed properties:
energy relative to the elements: -243.0 meV/atom
theoretical density: 9.91 g/cm³
DOS(E_F): 24.41 states/eV/cell
magnetic moment: 3.48 μB/f.u.



The following is a DFT calculation (PBE-GGA) of a relaxed structure of Ca2La2Pt.

abc: 7.571 7.571 6.144
angles: 90.00 90.00 90.00
Atoms (fractional coordinates):
Pt  0.500  0.500  0.000
Pt  0.000  0.000  0.000
La  0.159  0.341  0.000
La  0.659  0.159  0.000
La  0.841  0.659  0.000
La  0.341  0.841  0.000
Ca  0.668  0.832  0.500
Ca  0.168  0.668  0.500
Ca  0.332  0.168  0.500
Ca  0.832  0.332  0.500

Computed properties:
energy relative to the elements: -265.9 meV/atom
theoretical density: 5.21 g/cm³
DOS(E_F): 12.01 states/eV/cell
magnetic moment: 0.00 μB/f.u.



The following is a DFT calculation (PBE-GGA) of a relaxed structure of Sb2IrPt.

abc: 4.538 4.538 6.909
angles: 69.53 69.53 45.34
Atoms (fractional coordinates):
Pt  0.734  0.734  0.736
Sb  0.270  0.270  0.364
Sb  0.979  0.979  0.882
Ir  0.517  0.517  0.518

Computed properties:
distance to the lowest polymorph of the same formula: 0.0720 eV per atom
theoretical density: 11.18 g/cm³
DOS(E_F): 1.83 states/eV/cell
magnetic moment: 0.00 μB/f.u.
uncorrected formation energy: -0.056 eV per atom



The following is a DFT calculation (PBE-GGA) of a relaxed structure of Ho3Er2Hg7.

abc: 5.403 5.154 11.686
angles: 102.74 90.00 90.00
Atoms (fractional coordinates):
Hg  0.000  0.722  0.444
Hg  0.000  0.576  0.151
Hg  0.500  0.084  0.169
Hg  0.000  0.278  0.556
Hg  0.500  0.916  0.831
Hg  0.000  0.424  0.849
Hg  0.000  0.000  0.000
Er  0.000  0.144  0.289
Er  0.000  0.856  0.711
Ho  0.500  0.335  0.670
Ho  0.500  0.500  0.000
Ho  0.500  0.665  0.330

Computed properties:
energy relative to the elements: -295.6 meV/atom
theoretical density: 11.68 g/cm³
DOS(E_F): 7.22 states/eV/cell
magnetic moment: 0.00 μB/f.u.



The following is a DFT calculation (PBE-GGA) of a relaxed structure of LaTl2Sn2.

abc: 8.473 8.473 4.171
angles: 90.00 90.00 90.00
Atoms (fractional coordinates):
Tl  0.832  0.332  0.500
Tl  0.332  0.168  0.500
Tl  0.668  0.832  0.500
Tl  0.168  0.668  0.500
Sn  0.374  0.874  0.000
Sn  0.626  0.126  0.000
Sn  0.126  0.374  0.000
Sn  0.874  0.626  0.000
La  0.500  0.500  0.000
La  0.000  0.000  0.000

Computed properties:
distance to the lowest polymorph of the same formula: 0.0271 eV per atom
energy relative to the elements: -171.5 meV/atom
theoretical density: 8.71 g/cm³
DOS(E_F): 4.99 states/eV/cell
magnetic moment: 0.00 μB/f.u.



The following is a DFT calculation (PBE-GGA) of a relaxed structure of Al4Zn4P8H13N3O32.

abc: 8.923 9.514 9.589
angles: 89.95 82.91 81.45
Atoms (fractional coordinates):
H  0.634  0.659  0.069
H  0.819  0.605  0.097
H  0.120  0.928  0.682
H  0.362  0.398  0.829
H  0.864  0.840  0.418
H  0.761  0.944  0.548
H  0.678  0.904  0.406
H  0.263  0.531  0.930
H  0.174  0.395  0.887
H  0.312  0.369  0.999
H  0.815  0.016  0.392
H  0.709  0.479  0.074
H  0.763  0.581  0.940
O  0.794  0.529  0.735
O  0.037  0.872  0.680
O  0.250  0.046  0.267
O  0.036  0.940  0.173
O  0.451  0.334  0.153
O  0.975  0.147  0.340
O  0.016  0.639  0.149
O  0.930  0.816  0.932
O  0.603  0.655  0.532
O  0.922  0.459  0.313
O  0.699  0.300  0.460
O  0.243  0.748  0.964
O  0.495  0.654  0.836
O  0.096  0.182  0.090
O  0.486  0.807  0.048
O  0.080  0.539  0.682
O  0.527  0.406  0.674
O  0.965  0.337  0.583
O  0.998  0.685  0.408
O  0.392  0.920  0.825
O  0.482  0.579  0.323
O  0.994  0.364  0.844
O  0.534  0.830  0.351
O  0.541  0.189  0.937
O  0.729  0.291  0.076
O  0.323  0.740  0.517
O  0.543  0.143  0.615
O  0.752  0.907  0.754
O  0.602  0.084  0.173
O  0.416  0.327  0.462
O  0.198  0.489  0.296
O  0.925  0.070  0.844
P  0.095  0.081  0.214
P  0.900  0.922  0.812
P  0.035  0.568  0.294
P  0.406  0.789  0.918
P  0.547  0.290  0.554
P  0.959  0.441  0.709
P  0.481  0.703  0.431
P  0.584  0.218  0.083
Zn  0.550  0.044  0.794
Zn  0.929  0.222  0.977
Zn  0.127  0.687  0.560
Zn  0.453  0.952  0.203
Al  0.061  0.795  0.058
Al  0.606  0.565  0.691
Al  0.391  0.428  0.311
Al  0.894  0.311  0.422
N  0.779  0.928  0.440
N  0.730  0.581  0.047
N  0.277  0.422  0.912

Computed properties:
theoretical density: 2.46 g/cm³
DOS(E_F): 0.00 states/eV/cell
magnetic moment: 0.00 μB/f.u.
VASP energy: -410.43 eV for the cell shown



The following is a DFT calculation (PBE-GGA) of a relaxed structure of MoOs.

abc: 4.418 4.418 4.418
angles: 60.00 60.00 60.00
Atoms (fractional coordinates):
Os  0.500  0.500  0.500
Os  0.750  0.750  0.750
Mo  0.000  0.000  0.000
Mo  0.250  0.250  0.250

Computed properties:
energy relative to the elements: 360.2 meV/atom
theoretical density: 15.59 g/cm³
DOS(E_F): 6.92 states/eV/cell
magnetic moment: 0.01 μB/f.u.



The following is a DFT calculation (PBE-GGA) of a relaxed structure of TcS.

abc: 3.054 3.054 11.649
angles: 90.00 90.00 120.00
Atoms (fractional coordinates):
S  0.000  0.000  0.578
S  0.333  0.667  0.244
S  0.667  0.333  0.911
Tc  0.333  0.667  0.452
Tc  0.000  0.000  0.785
Tc  0.667  0.333  0.119

Computed properties:
distance to the lowest polymorph of the same formula: 0.1176 eV per atom
theoretical density: 6.89 g/cm³
DOS(E_F): 3.57 states/eV/cell
magnetic moment: 0.00 μB/f.u.
uncorrected formation energy: -0.271 eV per atom



The following is a DFT calculation (PBE-GGA) of a relaxed structure of Na2PaIn3Te6.

abc: 7.789 7.789 7.961
angles: 99.43 99.43 120.30
Atoms (fractional coordinates):
Pa  0.000  0.000  0.000
Te  0.083  0.393  0.244
Te  0.232  0.232  0.758
Te  0.393  0.083  0.244
Te  0.768  0.768  0.242
Te  0.607  0.917  0.756
Te  0.917  0.607  0.756
In  0.162  0.838  0.500
In  0.838  0.162  0.500
In  0.500  0.500  0.500
Na  0.332  0.668  0.000
Na  0.668  0.332  0.000

Computed properties:
theoretical density: 5.85 g/cm³
DOS(E_F): 7.64 states/eV/cell
magnetic moment: 0.00 μB/f.u.
uncorrected formation energy: -0.571 eV per atom



The following is a DFT calculation (PBE-GGA) of a relaxed structure of BeTe2PdRh.

abc: 5.182 4.095 5.182
angles: 90.00 90.00 90.00
Atoms (fractional coordinates):
Be  0.000  0.500  0.000
Te  0.000  0.000  0.500
Te  0.500  0.000  0.000
Pd  0.500  0.500  0.500
Rh  0.000  0.000  0.000

Computed properties:
theoretical density: 7.15 g/cm³
DOS(E_F): 3.73 states/eV/cell
magnetic moment: 0.00 μB/f.u.
uncorrected formation energy: 0.384 eV per atom



The following is a DFT calculation (PBE-GGA) of a relaxed structure of Th4Ge2H.

abc: 4.531 4.531 8.969
angles: 75.37 75.37 90.00
Atoms (fractional coordinates):
Ge  0.363  0.363  0.275
Ge  0.637  0.637  0.725
Th  0.500  0.000  0.000
Th  0.822  0.822  0.356
Th  0.000  0.500  0.000
Th  0.178  0.178  0.644
H  0.000  0.000  0.000

Computed properties:
theoretical density: 10.37 g/cm³
DOS(E_F): 7.09 states/eV/cell
magnetic moment: 0.00 μB/f.u.
VASP energy: -45.53 eV for the cell shown